Entry 1:
Density functional theory data (PBE-GGA) for a geometry-optimized Y2TlAs structure.

Cell: 6.0581 6.0581 4.2495 Å, 89.98 89.98 41.64°
With the nearest neighbours (Å) after each atom.
Fractional positions:
Tl: 0.2779 0.2779 0.1251  7 Y 3.06-3.37, 2 As 3.10
Y: 0.0074 0.0074 0.1249  4 As 3.04-3.05, 3 Tl 3.06-3.37
Y: 0.7379 0.7379 0.6251  1 As 2.96, 4 Tl 3.06
As: 0.4768 0.4768 0.6250  5 Y 2.96-3.05, 2 Tl 3.10

=====

Entry 2:
Density functional theory data (PBE-GGA) for a geometry-optimized Y3TlAs structure.

Cell: 4.4924 7.6985 16.0043 Å, 90.00 90.00 90.00°
With the nearest neighbours (Å) after each atom.
Fractional positions:
Tl: 0.7500 0.4065 0.6933  7 Y 3.10-3.35
Tl: 0.7500 0.9065 0.8067  7 Y 3.10-3.35
Tl: 0.2500 0.5935 0.3067  7 Y 3.10-3.35
Tl: 0.2500 0.0935 0.1933  7 Y 3.10-3.35
Y: 0.7500 0.6335 0.4452  3 As 2.94-3.13, 2 Tl 3.17
Y: 0.7500 0.1335 0.0548  3 As 2.94-3.13, 2 Tl 3.17
Y: 0.2500 0.3665 0.5548  3 As 2.94-3.13, 2 Tl 3.17
Y: 0.2500 0.0105 0.3990  3 As 2.94-2.95
Y: 0.2500 0.5105 0.1010  3 As 2.94-2.95
Y: 0.2500 0.1845 0.7729  1 As 3.03, 4 Tl 3.10-3.15
Y: 0.2500 0.8665 0.9452  3 As 2.94-3.13, 2 Tl 3.17
Y: 0.7500 0.4895 0.8990  3 As 2.94-2.95
Y: 0.7500 0.8155 0.2271  1 As 3.03, 4 Tl 3.10-3.15
Y: 0.7500 0.3155 0.2729  1 As 3.03, 4 Tl 3.10-3.15
Y: 0.2500 0.6845 0.7271  1 As 3.03, 4 Tl 3.10-3.15
Y: 0.7500 0.9895 0.6010  3 As 2.94-2.95
As: 0.2500 0.7727 0.5429  7 Y 2.94-3.13
As: 0.7500 0.7273 0.0429  7 Y 2.94-3.13
As: 0.2500 0.2727 0.9571  7 Y 2.94-3.13
As: 0.7500 0.2273 0.4571  7 Y 2.94-3.13

=====

Entry 3:
Density functional theory data (PBE-GGA) for a geometry-optimized YTlAs structure.

Cell: 6.4893 6.4893 6.4893 Å, 144.15 144.15 51.60°
With the nearest neighbours (Å) after each atom.
Fractional positions:
Y: 0.5953 0.5953 0.0000  4 As 2.83, 1 Tl 3.16
As: 0.0799 0.0799 0.0000  4 Y 2.83, 1 Tl 2.86
Tl: 0.3249 0.3249 0.0000  1 As 2.86, 1 Y 3.16

=====

Entry 4:
Density functional theory data (PBE-GGA) for a geometry-optimized YTlAs structure.

Cell: 4.4451 4.4451 5.2128 Å, 90.00 90.00 120.00°
With the nearest neighbours (Å) after each atom.
Fractional positions:
As: 0.0000 0.0000 0.9412  3 Y 2.75
Tl: 0.6667 0.3333 0.3074  3 As 3.20, 3 Y 3.46
Y: 0.3333 0.6667 0.7514  3 As 2.75

=====

Entry 5:
Density functional theory data (PBE-GGA) for a geometry-optimized Y2TlAs structure.

Cell: 3.5676 3.5676 8.2248 Å, 90.00 90.00 100.41°
With the nearest neighbours (Å) after each atom.
Fractional positions:
Y: 0.0000 0.0000 0.4693  2 As 2.91, 2 Tl 3.25
Y: 0.0000 0.0000 0.0307  2 As 2.91, 2 Tl 3.25
Tl: 0.5000 0.5000 0.7500  8 Y 3.25-3.58, 4 Tl 3.57
As: 0.5000 0.5000 0.2500  4 Y 2.91

=====

Entry 6:
Density functional theory data (PBE-GGA) for a geometry-optimized Y2TlZnAs structure.

Cell: 5.4270 4.8099 5.4270 Å, 90.00 90.00 90.00°
With the nearest neighbours (Å) after each atom.
Fractional positions:
Y: 0.0000 0.0000 0.5000  2 Zn 2.71
Y: 0.5000 0.0000 0.0000  2 Zn 2.71
Zn: 0.0000 0.0000 0.0000  2 Tl 2.40
Tl: 0.0000 0.5000 0.0000  2 Zn 2.40
As: 0.5000 0.5000 0.5000  8 Y 3.63, 4 Tl 3.84

=====

Entry 7:
Density functional theory data (PBE-GGA) for a geometry-optimized TlZn2As2 structure.

Cell: 3.9514 3.9514 7.8824 Å, 75.48 75.48 90.00°
With the nearest neighbours (Å) after each atom.
Fractional positions:
As: 0.6385 0.6385 0.7230  4 Zn 2.57
As: 0.3615 0.3615 0.2770  4 Zn 2.57
Tl: 0.0000 0.0000 0.0000  8 As 3.46
Zn: 0.2500 0.7500 0.5000  4 As 2.57, 4 Zn 2.79
Zn: 0.7500 0.2500 0.5000  4 As 2.57, 4 Zn 2.79

=====

Entry 8:
Density functional theory data (PBE-GGA) for a geometry-optimized Tl2ZnAs structure.

Cell: 4.1359 3.3019 7.7726 Å, 77.60 90.00 90.00°
With the nearest neighbours (Å) after each atom.
Fractional positions:
Zn: 0.0000 0.6722 0.5225  2 As 2.51
Tl: 0.0000 0.9581 0.9637  4 As 3.27-3.28, 2 Tl 3.30
Tl: 0.5000 0.2820 0.3038  4 Zn 3.12-3.13, 2 Tl 3.30, 1 As 3.48
As: 0.5000 0.5877 0.7100  2 Zn 2.51

=====

Entry 9:
Density functional theory data (PBE-GGA) for a geometry-optimized TlZn2As2 structure.

Cell: 4.3502 4.3502 6.4870 Å, 70.41 70.41 90.00°
With the nearest neighbours (Å) after each atom.
Fractional positions:
Tl: 0.0000 0.0000 0.0000  8 Zn 3.32, 8 As 3.59
As: 0.2500 0.7500 0.5000  4 Zn 2.70
As: 0.7500 0.2500 0.5000  4 Zn 2.70
Zn: 0.6100 0.6100 0.7800  1 Zn 2.51, 4 As 2.70
Zn: 0.3900 0.3900 0.2200  1 Zn 2.51, 4 As 2.70

=====

Entry 10:
Density functional theory data (PBE-GGA) for a geometry-optimized TlZn2As structure.

Cell: 4.9564 4.9564 4.9564 Å, 60.00 60.00 60.00°
With the nearest neighbours (Å) after each atom.
Fractional positions:
Tl: 0.7500 0.7500 0.7500  4 Zn 3.04, 4 As 3.04
Zn: 0.2500 0.2500 0.2500  4 As 3.04, 4 Zn 3.04
Zn: 0.0000 0.0000 0.0000  4 Tl 3.04, 4 Zn 3.04
As: 0.5000 0.5000 0.5000  4 Zn 3.04, 4 Tl 3.04

=====

Entry 11:
Density functional theory data (PBE-GGA) for a geometry-optimized TlZn2As structure.

Cell: 4.1444 4.2870 5.3150 Å, 75.61 90.00 90.00°
With the nearest neighbours (Å) after each atom.
Fractional positions:
As: 0.0000 0.4285 0.4329  3 Zn 2.51-2.56
Tl: 0.5000 0.7965 0.7384  4 Zn 2.90-3.12
Zn: 0.0000 0.9856 0.1129  2 As 2.56-2.85, 2 Zn 2.58
Zn: 0.5000 0.2894 0.2158  2 As 2.51, 2 Zn 2.58

=====

Entry 12:
Density functional theory data (PBE-GGA) for a geometry-optimized TlZn2As structure.

Cell: 4.0870 4.8651 5.2731 Å, 89.91 90.00 90.00°
With the nearest neighbours (Å) after each atom.
Fractional positions:
Zn: 0.0000 0.2499 0.5190  1 Zn 2.44, 2 As 2.49
Zn: 0.0000 0.2501 0.9810  1 Zn 2.44, 2 As 2.49
Tl: 0.5000 0.7500 0.7500  8 Zn 3.40, 4 As 3.58-3.59
As: 0.5000 0.2500 0.2500  4 Zn 2.49

=====

Entry 13:
Density functional theory data (PBE-GGA) for a geometry-optimized TlZnAs2 structure.

Cell: 6.4684 6.4684 6.4684 Å, 144.60 144.60 50.93°
With the nearest neighbours (Å) after each atom.
Fractional positions:
Zn: 0.7500 0.2500 0.5000  4 Tl 2.78
Tl: 0.2500 0.7500 0.5000  4 Zn 2.78
As: 0.0000 0.0000 0.0000  4 As 2.78
As: 0.5000 0.5000 0.0000  4 As 2.78

=====

Entry 14:
Density functional theory data (PBE-GGA) for a geometry-optimized TlZnAs2 structure.

Cell: 4.6916 4.6916 6.2655 Å, 72.39 72.39 47.25°
With the nearest neighbours (Å) after each atom.
Fractional positions:
Zn: 0.2684 0.2684 0.1647  5 As 2.70-2.84
Tl: 0.4951 0.4951 0.4805  3 Zn 3.15-3.20, 5 As 3.23-3.52
As: 0.0045 0.0045 0.0110  3 As 2.67-2.86, 3 Zn 2.70-2.74
As: 0.7320 0.7320 0.8437  3 As 2.67-2.86, 2 Zn 2.84

=====

Entry 15:
Density functional theory data (PBE-GGA) for a geometry-optimized TlZn2As structure.

Cell: 3.4881 3.4881 7.1078 Å, 90.00 90.00 99.29°
With the nearest neighbours (Å) after each atom.
Fractional positions:
Tl: 0.5000 0.5000 0.7500  8 Zn 3.12-3.42, 4 Tl 3.49
As: 0.5000 0.5000 0.2500  4 Zn 2.66
Zn: 0.0000 0.0000 0.4475  2 As 2.66, 1 Zn 2.81
Zn: 0.0000 0.0000 0.0525  2 As 2.66, 1 Zn 2.81

=====

Entry 16:
Density functional theory data (PBE-GGA) for a geometry-optimized Tl2ZnAs structure.

Cell: 4.1518 4.1518 7.8282 Å, 74.43 74.43 59.89°
With the nearest neighbours (Å) after each atom.
Fractional positions:
As: 0.2227 0.2227 0.3351  3 Zn 2.47-2.48
Tl: 0.9814 0.9814 0.0536  3 As 3.17-3.20
Tl: 0.7685 0.7685 0.6930  3 Zn 3.15
Zn: 0.5275 0.5275 0.4183  3 As 2.47-2.48

=====

Entry 17:
Density functional theory data (PBE-GGA) for a geometry-optimized TlZn2As structure.

Cell: 3.0539 3.7288 7.4976 Å, 90.00 90.00 90.00°
With the nearest neighbours (Å) after each atom.
Fractional positions:
As: 0.0000 0.0000 0.4223  5 Zn 2.72-2.73
Tl: 0.5000 0.5000 0.7665  2 Tl 3.05, 4 Zn 3.26
Zn: 0.0000 0.0000 0.0598  1 As 2.72, 4 Zn 2.81
Zn: 0.5000 0.5000 0.2513  4 As 2.73, 6 Zn 2.81-3.05

=====

Entry 18:
Density functional theory data (PBE-GGA) for a geometry-optimized Tl2ZnAs structure.

Cell: 4.5564 5.2137 4.1790 Å, 90.00 90.00 90.00°
With the nearest neighbours (Å) after each atom.
Fractional positions:
Zn: 0.5000 0.0000 0.5000  8 Tl 3.09-3.34, 4 As 3.46
As: 0.0000 0.5000 0.5000  8 Tl 3.09-3.34, 4 Zn 3.46
Tl: 0.5000 0.5000 0.0000  4 As 3.09, 4 Zn 3.34, 4 Tl 3.46
Tl: 0.0000 0.0000 0.0000  4 Zn 3.09, 4 As 3.34, 4 Tl 3.46

=====

Entry 19:
Density functional theory data (PBE-GGA) for a geometry-optimized TlZn2As structure.

Cell: 5.8006 5.8006 5.8006 Å, 139.17 139.17 59.12°
With the nearest neighbours (Å) after each atom.
Fractional positions:
Zn: 0.2500 0.7500 0.5000  4 Tl 2.86
Zn: 0.0000 0.0000 0.0000  4 As 2.86
As: 0.5000 0.5000 0.0000  4 Zn 2.86
Tl: 0.7500 0.2500 0.5000  4 Zn 2.86

=====

Entry 20:
Density functional theory data (PBE-GGA) for a geometry-optimized Tl2ZnAs structure.

Cell: 3.4360 3.7000 8.0419 Å, 90.00 90.00 90.00°
With the nearest neighbours (Å) after each atom.
Fractional positions:
As: 0.5000 0.5000 0.6805  4 Zn 2.68
Zn: 0.0000 0.0000 0.5676  4 As 2.68
Tl: 0.0000 0.0000 0.9573  1 Zn 3.13, 4 As 3.37, 2 Tl 3.44
Tl: 0.5000 0.5000 0.2946  1 As 3.10, 4 Zn 3.35, 2 Tl 3.44

=====

Raw total energy? In order: -22.940; -120.832; -15.298; -14.839; -22.809; -20.987; -14.575; -10.351; -13.888; -8.544; -9.094; -9.201; -11.734; -12.276; -8.764; -10.758; -8.948; -9.754; -8.599; -10.343 eV for the cell shown.
Calculated formation energy? In order: -749; -760; -606; -453; -716; 46; -72; 76; 65; 255; 118; 91; 301; 166; 200; -26; 154; 225; 241; 78 meV per atom.
Total moment? In order: 0.00; 0.00; 0.00; 0.00; 0.00; 0.00; 0.00; 0.00; 0.00; 0.00; 0.00; 0.00; 0.00; 0.00; 0.00; 0.00; 0.00; 0.00; 0.00; 0.00 Bohr magnetons per cell.